A geometry-optimized CePrCuPt structure. Source: the Alexandria database, functional PBE.

The crystal system is cubic. For the energy relative to the elements, the calculation gives -0.53 eV per atom. Its total magnetization is 3.49 μB/cell.

The space group is F-43m (No. 216) and the conventional cell measures 7.1901, 7.1901 and 7.1901 Å, with angles of 90.00, 90.00 and 90.00 degrees. The distinct sites, in fractional coordinates, are Ce at (0.0000, 0.0000, 0.0000), Pr at (0.0000, 0.0000, 0.5000), Cu at (0.2500, 0.2500, 0.2500) and Pt at (0.2500, 0.2500, 0.7500).

A geometry-optimized CePrCuRh structure. Source: the Alexandria database, functional PBE.

The crystal system is cubic. For the energy relative to the elements, the calculation gives -0.35 eV per atom. Its total magnetization is 2.70 μB/cell.

The space group is F-43m (No. 216) and the conventional cell measures 7.1069, 7.1069 and 7.1069 Å, with angles of 90.00, 90.00 and 90.00 degrees. The distinct sites, in fractional coordinates, are Ce at (0.0000, 0.0000, 0.0000), Pr at (0.0000, 0.0000, 0.5000), Cu at (0.2500, 0.2500, 0.2500) and Rh at (0.2500, 0.2500, 0.7500).

A geometry-optimized CePrCuRu structure. Source: the Alexandria database, functional PBE.

The crystal system is cubic. For the energy relative to the elements, the calculation gives -0.14 eV per atom. Its total magnetization is 2.04 μB/cell.

The space group is F-43m (No. 216) and the conventional cell measures 7.0594, 7.0594 and 7.0594 Å, with angles of 90.00, 90.00 and 90.00 degrees. The distinct sites, in fractional coordinates, are Ce at (0.0000, 0.0000, 0.0000), Pr at (0.0000, 0.0000, 0.5000), Cu at (0.2500, 0.2500, 0.7500) and Ru at (0.2500, 0.2500, 0.2500).

A geometry-optimized CePr2CuS5 structure. Source: the Alexandria database, functional PBE.

The crystal system is orthorhombic. The uncorrected formation energy comes out at -1.726 eV/atom. Its total magnetization is 2.74 μB/cell.

The space group is Cmc2_1 (No. 36) and the conventional cell measures 3.9475, 16.6531 and 12.1502 Å, with angles of 90.00, 90.00 and 90.00 degrees. The distinct sites, in fractional coordinates, are Ce at (0.0000, 0.1783, 0.0000), Pr at (0.0000, 0.1136, 0.6640), Pr at (0.0000, 0.1183, 0.3198), Cu at (0.0000, 0.4522, 0.3922), S at (0.0000, 0.0146, 0.9821), S at (0.0000, 0.2990, 0.6634), S at (0.0000, 0.3169, 0.3335), S at (0.0000, 0.3451, 0.9923) and S at (0.0000, 0.4913, 0.7216).

A geometry-optimized CePrCuS4 structure. Source: the Alexandria database, functional PBE.

The crystal system is monoclinic. The uncorrected formation energy comes out at -1.514 eV/atom. Its total magnetization is 0.81 μB/cell.

The space group is P2_1/m (No. 11) and the conventional cell measures 6.5617, 6.0053 and 7.9284 Å, with angles of 90.00, 107.26 and 90.00 degrees. The distinct sites, in fractional coordinates, are Ce at (0.2447, 0.2500, 0.0601), Pr at (0.2570, 0.2500, 0.5635), Cu at (0.2420, 0.7500, 0.8164), S at (0.0164, 0.5129, 0.2494), S at (0.4325, 0.7500, 0.6184) and S at (0.4341, 0.7500, 0.1034).

A geometry-optimized CePrCuSe4 structure. Source: the Alexandria database, functional PBE.

The crystal system is monoclinic. The uncorrected formation energy comes out at -1.370 eV/atom. Its total magnetization is 1.60 μB/cell.

The space group is P2_1/m (No. 11) and the conventional cell measures 7.0450, 6.0699 and 8.3151 Å, with angles of 90.00, 106.97 and 90.00 degrees. The distinct sites, in fractional coordinates, are Ce at (0.2412, 0.2500, 0.4372), Pr at (0.2415, 0.2500, 0.9344), Cu at (0.2469, 0.7500, 0.6839), Se at (0.0716, 0.7500, 0.8911), Se at (0.0736, 0.7500, 0.3918) and Se at (0.4844, 0.5106, 0.2490).

A geometry-optimized CePr2CuSe5 structure. Source: the Alexandria database, functional PBE.

The crystal system is orthorhombic. The uncorrected formation energy comes out at -1.577 eV/atom. Its total magnetization is 2.93 μB/cell.

The space group is Cmc2_1 (No. 36) and the conventional cell measures 4.0984, 17.5202 and 12.6280 Å, with angles of 90.00, 90.00 and 90.00 degrees. The distinct sites, in fractional coordinates, are Ce at (0.0000, 0.1778, 0.0000), Pr at (0.0000, 0.1137, 0.3218), Pr at (0.0000, 0.1156, 0.6666), Cu at (0.0000, 0.4492, 0.3946), Se at (0.0000, 0.0149, 0.9882), Se at (0.0000, 0.3009, 0.6662), Se at (0.0000, 0.3147, 0.3316), Se at (0.0000, 0.3449, 0.9933) and Se at (0.0000, 0.4931, 0.7214).

A geometry-optimized CePrCuTc structure. Source: the Alexandria database, functional PBE.

The crystal system is cubic. For the energy relative to the elements, the calculation gives 0.04 eV per atom. Its total magnetization is 0.88 μB/cell.

The space group is F-43m (No. 216) and the conventional cell measures 7.0608, 7.0608 and 7.0608 Å, with angles of 90.00, 90.00 and 90.00 degrees. The distinct sites, in fractional coordinates, are Ce at (0.0000, 0.0000, 0.0000), Pr at (0.0000, 0.0000, 0.5000), Cu at (0.2500, 0.2500, 0.2500) and Tc at (0.2500, 0.2500, 0.7500).

A geometry-optimized CePrTlCu structure. Source: the Alexandria database, functional PBE.

The crystal system is cubic. For the energy relative to the elements, the calculation gives -0.11 eV per atom. Its total magnetization is 5.79 μB/cell.

The space group is F-43m (No. 216) and the conventional cell measures 7.5657, 7.5657 and 7.5657 Å, with angles of 90.00, 90.00 and 90.00 degrees. The distinct sites, in fractional coordinates, are Ce at (0.0000, 0.0000, 0.0000), Pr at (0.0000, 0.0000, 0.5000), Tl at (0.2500, 0.2500, 0.7500) and Cu at (0.2500, 0.2500, 0.2500).

A geometry-optimized Ce2PrZn2Cu2 structure. Source: the Alexandria database, functional PBE.

The crystal system is trigonal. For the energy relative to the elements, the calculation gives -0.21 eV per atom. Its total magnetization is 0.00 μB/cell.

The space group is R-3m (No. 166, hexagonal axes) and the conventional cell measures 4.3443, 4.3443 and 27.0776 Å, with angles of 90.00, 90.00 and 120.00 degrees. The distinct sites, in fractional coordinates, are Ce at (0.0000, 0.0000, 0.1398), Pr at (0.0000, 0.0000, 0.0000), Zn at (0.0000, 0.0000, 0.2591) and Cu at (0.0000, 0.0000, 0.4101).

A geometry-optimized Ce4CuPt3 structure. Source: the Alexandria database, functional PBE.

The crystal system is orthorhombic. For the energy relative to the elements, the calculation gives -0.83 eV per atom. Its total magnetization is 2.89 μB/cell.

The space group is Pmm2 (No. 25) and the conventional cell measures 3.8472, 4.4303 and 11.0282 Å, with angles of 90.00, 90.00 and 90.00 degrees. The distinct sites, in fractional coordinates, are Ce at (0.0000, 0.0000, 0.0000), Ce at (0.0000, 0.5000, 0.2739), Ce at (0.5000, 0.0000, 0.4987), Ce at (0.5000, 0.5000, 0.7732), Cu at (0.0000, 0.0000, 0.7146), Pt at (0.0000, 0.5000, 0.5536), Pt at (0.5000, 0.0000, 0.2314) and Pt at (0.5000, 0.5000, 0.0408).

A geometry-optimized Ce3CuPt8 structure. Source: the Alexandria database, functional PBE.

The crystal system is trigonal. For the energy relative to the elements, the calculation gives -0.88 eV per atom. Its total magnetization is 4.39 μB/cell.

The space group is R3m (No. 160, hexagonal axes) and the conventional cell measures 5.4283, 5.4283 and 26.6785 Å, with angles of 90.00, 90.00 and 120.00 degrees. The distinct sites, in fractional coordinates, are Ce at (0.0000, 0.0000, 0.0000), Ce at (0.0000, 0.0000, 0.1284), Ce at (0.0000, 0.0000, 0.5187), Cu at (0.0000, 0.0000, 0.6464), Pt at (0.0000, 0.0000, 0.3186), Pt at (0.0000, 0.0000, 0.8190), Pt at (0.9997, 0.4998, 0.0687) and Pt at (0.1679, 0.3357, 0.9026).

Number 1: density 9.64 g/cm3. Number 2: density 8.28 g/cm3. Number 3: density 8.41 g/cm3. Number 4: density 5.37 g/cm3. Number 5: density 5.26 g/cm3. Number 6: density 6.45 g/cm3. Number 7: density 6.45 g/cm3. Number 8: density 8.35 g/cm3. Number 9: density 8.42 g/cm3. Number 10: density 7.64 g/cm3. Number 11: density 10.68 g/cm3. Number 12: density 14.96 g/cm3.